(1)
CsNi4, optimized geometry, DFT PBE; ΔH_f (0 K) = 11.81 eV per formula unit
1.0
-2.836 -2.453 -2.862
-0.917 -3.025 3.501
-3.656 2.661 1.341
Ni Cs
4 1
direct
0.000 0.500 0.500 Ni
0.500 0.500 0.000 Ni
0.000 0.000 0.000 Ni
0.500 0.000 0.500 Ni
0.500 0.500 0.500 Cs

=====

(2)
RbTi2AlS, optimized geometry, DFT PBE; formation energy from raw total energies = 0.780 eV/atom
1.0
5.154 0.000 0.000
0.000 5.253 0.000
0.000 0.000 5.154
Al Rb S Ti
1 1 1 2
direct
0.000 0.000 0.000 Al
0.500 0.500 0.500 Rb
0.000 0.500 0.000 S
0.000 0.000 0.500 Ti
0.500 0.000 0.000 Ti

=====

(3)
SnPbCl4, optimized geometry, DFT PBE; energy above the most stable polymorph in this dataset = 10 meV/atom; formation energy from raw total energies = -1.053 eV/atom
1.0
-3.566 -0.494 6.303
-5.190 -2.650 -5.472
6.665 -4.583 0.396
Cl Sn Pb
8 2 2
direct
0.755 0.706 0.645 Cl
0.983 0.255 0.880 Cl
0.390 0.939 0.645 Cl
0.603 0.375 0.120 Cl
0.610 0.061 0.355 Cl
0.017 0.745 0.120 Cl
0.245 0.294 0.355 Cl
0.397 0.625 0.880 Cl
0.286 0.036 0.072 Sn
0.714 0.964 0.928 Sn
0.367 0.617 0.234 Pb
0.633 0.383 0.766 Pb

=====

(4)
SmTm4Mg, optimized geometry, DFT PBE; energy above the most stable polymorph in this dataset = 0 meV/atom; ΔH_f (0 K) = -0.02 eV per formula unit
1.0
-0.309 0.977 -3.386
1.616 -2.981 -1.007
-12.590 -6.573 -0.748
Tm Mg Sm
4 1 1
direct
0.000 0.000 0.346 Tm
0.000 0.000 0.654 Tm
0.500 0.500 0.177 Tm
0.500 0.500 0.823 Tm
0.500 0.500 0.500 Mg
0.000 0.000 0.000 Sm

=====

(5)
AcLuMgSn, optimized geometry, DFT PBE; ΔH_f (0 K) = -1.17 eV per formula unit
1.0
5.506 0.000 0.000
2.753 4.768 0.000
2.753 1.589 4.496
Lu Ac Mg Sn
1 1 1 1
direct
0.000 0.000 0.000 Lu
0.500 0.500 0.500 Ac
0.250 0.250 0.250 Mg
0.750 0.750 0.750 Sn

=====

(6)
TbY12Er6, optimized geometry, DFT PBE; energy above the most stable polymorph in this dataset = 106 meV/atom; ΔH_f (0 K) = 4.92 eV per formula unit
1.0
-2.515 -6.613 -5.742
1.991 -4.046 7.918
-7.394 5.115 1.478
Y Er Tb
12 6 1
direct
0.809 0.424 0.518 Y
0.576 0.482 0.191 Y
0.719 0.862 0.174 Y
0.482 0.191 0.576 Y
0.281 0.138 0.826 Y
0.174 0.719 0.862 Y
0.138 0.826 0.281 Y
0.191 0.576 0.482 Y
0.862 0.174 0.719 Y
0.518 0.809 0.424 Y
0.424 0.518 0.809 Y
0.826 0.281 0.138 Y
0.924 0.815 0.546 Er
0.546 0.924 0.815 Er
0.815 0.546 0.924 Er
0.185 0.454 0.076 Er
0.076 0.185 0.454 Er
0.454 0.076 0.185 Er
0.000 0.000 0.000 Tb

=====

(7)
Be2V2Co5B, optimized geometry, DFT PBE; ΔH_f (0 K) = -2.08 eV per formula unit
1.0
-0.450 2.567 0.176
-7.618 -1.589 3.686
3.729 0.123 7.760
Co Be V B
10 4 4 2
direct
0.500 0.308 0.554 Co
0.500 0.000 0.500 Co
0.500 0.192 0.054 Co
0.500 0.808 0.946 Co
0.500 0.554 0.692 Co
0.500 0.054 0.808 Co
0.500 0.500 0.000 Co
0.500 0.692 0.446 Co
0.500 0.946 0.192 Co
0.500 0.446 0.308 Co
0.000 0.130 0.630 Be
0.000 0.630 0.870 Be
0.000 0.870 0.370 Be
0.000 0.370 0.130 Be
0.000 0.824 0.676 V
0.000 0.176 0.324 V
0.000 0.324 0.824 V
0.000 0.676 0.176 V
0.000 0.500 0.500 B
0.000 0.000 0.000 B

=====

(8)
LaZrNO2, optimized geometry, DFT PBE; formation energy from raw total energies = -2.509 eV/atom
1.0
-0.265 -3.049 2.777
-0.134 -2.775 -3.060
4.338 -0.301 0.083
La N O Zr
1 1 2 1
direct
0.500 0.500 0.500 La
0.000 0.000 0.500 N
0.500 0.000 0.000 O
0.000 0.500 0.000 O
0.000 0.000 0.000 Zr

=====

(9)
BaTc2W, optimized geometry, DFT PBE; energy above the most stable polymorph in this dataset = 0 meV/atom; ΔH_f (0 K) = 2.37 eV per formula unit
1.0
-0.611 0.381 3.127
2.823 -1.347 0.716
3.506 7.242 -0.198
Tc Ba W
2 1 1
direct
0.000 0.000 0.424 Tc
0.000 0.000 0.076 Tc
0.500 0.500 0.750 Ba
0.500 0.500 0.250 W

=====

(10)
TeI2BrCl, optimized geometry, DFT PBE; energy above the most stable polymorph in this dataset = 0 meV/atom; formation energy from raw total energies = 0.619 eV/atom
1.0
5.918 0.000 0.000
0.000 5.918 0.000
0.000 0.000 5.925
Cl Te I Br
1 1 2 1
direct
0.500 0.500 0.500 Cl
0.000 0.000 0.500 Te
0.000 0.500 0.000 I
0.500 0.000 0.000 I
0.000 0.000 0.000 Br

=====

(11)
Ce3Ho5Se8, optimized geometry, DFT PBE; formation energy from raw total energies = -1.767 eV/atom
1.0
-4.261 -6.348 2.951
2.608 -3.923 6.707
-4.150 0.788 7.082
Ho Ce Se
5 3 8
direct
0.500 0.000 0.000 Ho
0.500 0.500 0.500 Ho
0.500 0.500 0.000 Ho
0.000 0.500 0.000 Ho
0.000 0.000 0.000 Ho
0.000 0.500 0.500 Ce
0.000 0.000 0.500 Ce
0.500 0.000 0.500 Ce
0.750 0.750 0.241 Se
0.254 0.254 0.237 Se
0.250 0.250 0.759 Se
0.250 0.742 0.759 Se
0.750 0.258 0.241 Se
0.258 0.750 0.241 Se
0.746 0.746 0.763 Se
0.742 0.250 0.759 Se

=====

(12)
V4GaIr5, optimized geometry, DFT PBE; ΔH_f (0 K) = -4.96 eV per formula unit
1.0
-2.084 1.834 0.142
-1.677 -1.982 0.991
4.923 4.286 16.906
Ga Ir V
1 5 4
direct
0.000 0.000 0.000 Ga
0.500 0.500 0.899 Ir
0.500 0.500 0.500 Ir
0.500 0.500 0.101 Ir
0.500 0.500 0.700 Ir
0.500 0.500 0.300 Ir
0.000 0.000 0.399 V
0.000 0.000 0.198 V
0.000 0.000 0.601 V
0.000 0.000 0.802 V